# 1
A plane-wave DFT calculation with PBE was carried out for crystalline Ta6SnPt at its relaxed geometry. Values from VASP.

Structure (Quantum ESPRESSO input):
```
&SYSTEM
  ibrav = 0, nat = 8, ntyp = 3
/
ATOMIC_SPECIES
Pt 195.08 Pt.upf
Sn 118.71 Sn.upf
Ta 180.95 Ta.upf
CELL_PARAMETERS angstrom
-0.6689 5.2115 0.0327
-0.6826 -0.0549 -5.2095
-5.1667 -0.6675 0.6840
ATOMIC_POSITIONS angstrom
Pt 0.0000 0.0000 0.0000
Sn -3.2591 2.2445 -2.2464
Ta -0.5025 2.5922 -1.2660
Ta -0.8490 2.5643 -3.9109
Ta -1.6131 -0.1918 -2.4364
Ta -2.7480 0.9491 0.3500
Ta -3.0876 3.5950 0.3666
Ta -4.2362 -0.5306 -2.0891
```

Calculated values
- space group = Pm-3
- spin magnetization (μB per formula unit) = 0.1
- total energy (eV/cell) = -82.638

# 2
A plane-wave DFT calculation with PBE was carried out for crystalline La2Zn4IrPt at its relaxed geometry. Values from VASP.

Structure (Quantum ESPRESSO input):
```
&SYSTEM
  ibrav = 0, nat = 8, ntyp = 4
/
ATOMIC_SPECIES
Ir 192.22 Ir.upf
La 138.91 La.upf
Pt 195.08 Pt.upf
Zn 65.41 Zn.upf
CELL_PARAMETERS angstrom
7.8123 0.0000 0.0000
0.0000 2.0634 5.0319
0.0000 -2.0634 5.0319
ATOMIC_POSITIONS angstrom
Ir 0.0000 0.0000 2.1649
La 3.9061 0.0000 0.6728
La 0.0000 0.0000 9.4122
Pt 3.9061 0.0000 7.8857
Zn 2.3184 0.0000 3.4943
Zn 5.4939 0.0000 3.4943
Zn 1.5414 0.0000 6.5656
Zn 6.2709 0.0000 6.5656
```

Calculated values
- space group = Amm2
- ΔH_f (0 K) (meV/atom) = -624
- spin magnetization (μB per formula unit) = 0.0